# Rb3AgHg2F9 | Alexandria via LeMat-Bulk | GGA-PBE | relaxed
data_Rb3AgHg2F9
_chemical_formula_sum 'Rb3 Ag1 Hg2 F9'
_space_group_name_H-M_alt 'P 1'
_space_group_IT_number 1
_cell_length_a 6.4470
_cell_length_b 6.4470
_cell_length_c 7.9168
_cell_angle_alpha 90.00
_cell_angle_beta 90.00
_cell_angle_gamma 120.00
loop_
_space_group_symop_operation_xyz
'x,y,z'
loop_
_atom_site_label
_atom_site_type_symbol
_atom_site_fract_x
_atom_site_fract_y
_atom_site_fract_z
Rb1 Rb 0.0000 0.0000 0.0000
Rb2 Rb 0.3333 0.6667 0.6616
Rb3 Rb 0.6667 0.3333 0.3384
Ag1 Ag 0.0000 0.0000 0.5000
Hg1 Hg 0.3333 0.6667 0.1716
Hg2 Hg 0.6667 0.3333 0.8284
F1 F 0.0000 0.5000 0.0000
F2 F 0.1652 0.3304 0.3371
F3 F 0.1652 0.8348 0.3371
F4 F 0.3304 0.1652 0.6629
F5 F 0.5000 0.0000 0.0000
F6 F 0.5000 0.5000 0.0000
F7 F 0.6696 0.8348 0.3371
F8 F 0.8348 0.1652 0.6629
F9 F 0.8348 0.6696 0.6629
# ΔE_f (raw): -1930.6 meV per atom
# N(E_F): 4.3 states/eV per cell
# DFT total energy: -3.477 eV/atom
# Size of the total moment: 0.8 μB per formula unit
# Space-group type: P-3m1, No. 164